(1)
Below is a relaxed TbCe2HoAs4 crystal, with properties calculated at the GGA-PBE level.

## Properties
- crystal system = monoclinic
- energy relative to the elements (meV/atom) = -1482

Geometry as CIF:
```
data_TbCe2HoAs4
_space_group_name_H-M_alt 'P 1'
_space_group_IT_number 1
_cell_length_a 7.2083
_cell_length_b 4.1693
_cell_length_c 7.2229
_cell_angle_alpha 90.00
_cell_angle_beta 109.50
_cell_angle_gamma 90.00
loop_
_space_group_symop_operation_xyz
'x,y,z'
loop_
_atom_site_label
_atom_site_type_symbol
_atom_site_fract_x
_atom_site_fract_y
_atom_site_fract_z
_atom_site_occupancy
Tb1 Tb 0.0000 0.0000 0.0000 1
Ce1 Ce 0.5000 0.0000 0.5000 1
Ce2 Ce 0.5000 0.5000 0.0000 1
Ho1 Ho 0.0000 0.5000 0.5000 1
As1 As 0.2453 0.0000 0.7472 1
As2 As 0.2462 0.5000 0.2499 1
As3 As 0.7538 0.5000 0.7501 1
As4 As 0.7547 0.0000 0.2528 1
```

(2)
Below is a relaxed Ce3Ho2ThAs6 crystal, with properties calculated at the GGA-PBE level.

## Properties
- crystal system = monoclinic
- energy relative to the elements (meV/atom) = -1461

Geometry as CIF:
```
data_Ce3Ho2ThAs6
_space_group_name_H-M_alt 'P 1'
_space_group_IT_number 1
_cell_length_a 7.2507
_cell_length_b 7.2507
_cell_length_c 7.2692
_cell_angle_alpha 99.58
_cell_angle_beta 99.58
_cell_angle_gamma 120.02
loop_
_space_group_symop_operation_xyz
'x,y,z'
loop_
_atom_site_label
_atom_site_type_symbol
_atom_site_fract_x
_atom_site_fract_y
_atom_site_fract_z
_atom_site_occupancy
Ce1 Ce 0.0000 0.0000 0.0000 1
Ce2 Ce 0.3343 0.6657 0.0000 1
Ce3 Ce 0.6657 0.3343 0.0000 1
Ho1 Ho 0.1670 0.8330 0.5000 1
Ho2 Ho 0.8330 0.1670 0.5000 1
Th1 Th 0.5000 0.5000 0.5000 1
As1 As 0.0799 0.4177 0.2533 1
As2 As 0.2437 0.2437 0.7452 1
As3 As 0.4177 0.0799 0.2533 1
As4 As 0.5823 0.9201 0.7467 1
As5 As 0.7563 0.7563 0.2548 1
As6 As 0.9201 0.5823 0.7467 1
```

no.,D(E_F) (states/eV/cell)
1,11.03
2,17.74